1.
Al2NiAu | PBE | relaxed

The value obtained for the formation energy is -401.0 meV per atom.

The space group is P4/mmm (No. 123) and the conventional cell measures 4.181, 4.181 and 3.287 Å, with angles of 90.00, 90.00 and 90.00 degrees. The inequivalent atoms are Al at (0.000, 0.500, 0.000), Ni at (0.000, 0.000, 0.500) and Au at (0.500, 0.500, 0.500).

2.
Ge2HS2 | PBE | relaxed

The total energy is -42.6 eV for the cell shown.

The space group is P-1 (No. 2) and the conventional cell measures 3.715, 6.268 and 9.180 Å, with angles of 92.15, 100.93 and 91.25 degrees. The inequivalent atoms are Ge at (0.029, 0.286, 0.080), Ge at (0.409, 0.257, 0.824), H at (0.215, 0.728, 0.440), S at (0.172, 0.884, 0.340) and S at (0.385, 0.603, 0.747).

3.
SiPd3Au | PBE | relaxed

The calculation puts the offset from the most stable computed form at 423 meV/atom. The formation energy without anion corrections comes out at 0.031 eV per atom.

The space group is Pm-3m (No. 221) and the conventional cell measures 4.493, 4.493 and 4.493 Å, with angles of 90.00, 90.00 and 90.00 degrees. The inequivalent atoms are Si at (0.000, 0.000, 0.000), Pd at (0.000, 0.000, 0.500) and Au at (0.500, 0.500, 0.500).

4.
TbPm8Cd6 | PBE | relaxed

The value obtained for the formation energy is -89.3 meV per atom.

The space group is R-3 (No. 148, hexagonal axes) and the conventional cell measures 9.1406, 9.1406 and 19.5436 Å, with angles of 90.00, 90.00 and 120.00 degrees. The inequivalent atoms are Tb at (0.0000, 0.0000, 0.0000), Pm at (0.0000, 0.0000, 0.3340), Pm at (0.0013, 0.3323, 0.2160) and Cd at (0.9998, 0.3293, 0.0496).

5.
KMnS2N | PBE | relaxed

The calculation puts the offset from the most stable computed form at 0 meV/atom. The formation energy without anion corrections comes out at -0.082 eV per atom.

The space group is P4/mmm (No. 123) and the conventional cell measures 4.988, 4.988 and 3.567 Å, with angles of 90.00, 90.00 and 90.00 degrees. The inequivalent atoms are K at (0.000, 0.000, 0.000), Mn at (0.500, 0.500, 0.500), S at (0.000, 0.500, 0.500) and N at (0.500, 0.500, 0.000).

6.
YHo2Al | PBE | relaxed

The calculation puts the offset from the most stable computed form at 122 meV/atom. The value obtained for the formation energy is -77.7 meV per atom.

The space group is R3m (No. 160, hexagonal axes) and the conventional cell measures 3.5772, 3.5772 and 31.1289 Å, with angles of 90.00, 90.00 and 120.00 degrees. The inequivalent atoms are Y at (0.0000, 0.0000, 0.0000), Ho at (0.0000, 0.0000, 0.5721), Ho at (0.0000, 0.0000, 0.7605) and Al at (0.0000, 0.0000, 0.1660).

7.
Ca2Ac2Co | PBE | relaxed

The value obtained for the formation energy is -2.0 meV per atom.

The space group is P4/mmm (No. 123) and the conventional cell measures 5.635, 5.635 and 5.832 Å, with angles of 90.00, 90.00 and 90.00 degrees. The inequivalent atoms are Ca at (0.000, 0.000, 0.000), Ca at (0.500, 0.500, 0.000), Ac at (0.000, 0.500, 0.500) and Co at (0.000, 0.000, 0.500).

8.
Nd4HgTeSe2 | PBE | relaxed

The formation energy without anion corrections comes out at -1.386 eV per atom.

The space group is P2/m (No. 10) and the conventional cell measures 7.554, 4.263 and 7.634 Å, with angles of 90.00, 108.31 and 90.00 degrees. The inequivalent atoms are Nd at (0.239, 0.000, 0.231), Nd at (0.254, 0.500, 0.764), Hg at (0.000, 0.000, 0.500), Te at (0.500, 0.500, 0.500), Se at (0.000, 0.500, 0.000) and Se at (0.500, 0.000, 0.000).

9.
NdThCuNi | PBE | relaxed

The calculation puts the offset from the most stable computed form at 113 meV/atom. The value obtained for the formation energy is -151.9 meV per atom.

The space group is F-43m (No. 216) and the conventional cell measures 7.077, 7.077 and 7.077 Å, with angles of 90.00, 90.00 and 90.00 degrees. The inequivalent atoms are Nd at (0.000, 0.000, 0.000), Th at (0.000, 0.000, 0.500), Cu at (0.250, 0.250, 0.250) and Ni at (0.250, 0.250, 0.750).

10.
La5PmNd12 | PBE | relaxed

The value obtained for the formation energy is 14.4 meV per atom.

The space group is Cmmm (No. 65) and the conventional cell measures 15.674, 15.676 and 5.239 Å, with angles of 90.00, 90.00 and 90.00 degrees. The inequivalent atoms are La at (0.000, 0.000, 0.000), La at (0.166, 0.500, 0.000), La at (0.167, 0.000, 0.500), Pm at (0.000, 0.500, 0.500), Nd at (0.000, 0.168, 0.500), Nd at (0.000, 0.333, 0.000), Nd at (0.166, 0.333, 0.500) and Nd at (0.167, 0.168, 0.000).

11.
Hg2OsCl | PBE | relaxed

The calculation puts the offset from the most stable computed form at 45 meV/atom. The formation energy without anion corrections comes out at 0.528 eV per atom.

The space group is Cmm2 (No. 35) and the conventional cell measures 2.902, 5.485 and 10.795 Å, with angles of 90.00, 90.00 and 90.00 degrees. The inequivalent atoms are Hg at (0.000, 0.000, 0.000), Hg at (0.000, 0.500, 0.279), Os at (0.000, 0.500, 0.774) and Cl at (0.000, 0.000, 0.604).

12.
Pu3CN6 | PBE | relaxed

The formation energy without anion corrections comes out at -0.618 eV per atom.

The space group is Cmc2_1 (No. 36) and the conventional cell measures 8.710, 10.976 and 5.093 Å, with angles of 90.00, 90.00 and 90.00 degrees. The inequivalent atoms are Pu at (0.000, 0.109, 0.000), Pu at (0.192, 0.388, 0.974), C at (0.000, 0.306, 0.421), N at (0.000, 0.295, 0.717), N at (0.000, 0.433, 0.319), N at (0.135, 0.245, 0.301) and N at (0.159, 0.012, 0.731).